# 1
CaY2NbNi | SCAN | PBEsol geometry

## Properties
DFT formation energy, eV/atom: 0.544

```
data_CaY2NbNi
_chemical_formula_sum 'Ca1 Y2 Nb1 Ni1'
_symmetry_space_group_name_H-M 'P 1'
_symmetry_Int_Tables_number 1
_cell_length_a 4.614
_cell_length_b 5.421
_cell_length_c 5.421
_cell_angle_alpha 90.00
_cell_angle_beta 90.00
_cell_angle_gamma 90.00
loop_
_symmetry_equiv_pos_as_xyz
'x,y,z'
loop_
_atom_site_label
_atom_site_type_symbol
_atom_site_fract_x
_atom_site_fract_y
_atom_site_fract_z
Nb1 Nb 0.000 0.000 0.000
Y1 Y 0.000 0.000 0.500
Y2 Y 0.000 0.500 0.000
Ni1 Ni 0.500 0.000 0.000
Ca1 Ca 0.500 0.500 0.500
```

# 2
AlGeBi2S | SCAN | PBEsol geometry

## Properties
Energy relative to the elements, uncorrected, eV/atom: 0.745

```
data_AlGeBi2S
_chemical_formula_sum 'Al1 Ge1 Bi2 S1'
_symmetry_space_group_name_H-M 'P 1'
_symmetry_Int_Tables_number 1
_cell_length_a 4.602
_cell_length_b 5.405
_cell_length_c 5.405
_cell_angle_alpha 90.00
_cell_angle_beta 90.00
_cell_angle_gamma 90.00
loop_
_symmetry_equiv_pos_as_xyz
'x,y,z'
loop_
_atom_site_label
_atom_site_type_symbol
_atom_site_fract_x
_atom_site_fract_y
_atom_site_fract_z
Bi1 Bi 0.000 0.500 0.000
Bi2 Bi 0.000 0.000 0.500
Al1 Al 0.000 0.000 0.000
Ge1 Ge 0.500 0.000 0.000
S1 S 0.500 0.500 0.500
```

# 3
GaBi4Br4 | SCAN | PBEsol geometry

## Properties
Energy relative to the elements, uncorrected, eV/atom: -0.465

```
data_GaBi4Br4
_chemical_formula_sum 'Ga8 Bi32 Br32'
_symmetry_space_group_name_H-M 'P 1'
_symmetry_Int_Tables_number 1
_cell_length_a 10.203
_cell_length_b 13.314
_cell_length_c 18.240
_cell_angle_alpha 90.00
_cell_angle_beta 90.00
_cell_angle_gamma 90.00
loop_
_symmetry_equiv_pos_as_xyz
'x,y,z'
loop_
_atom_site_label
_atom_site_type_symbol
_atom_site_fract_x
_atom_site_fract_y
_atom_site_fract_z
Br1 Br 0.687 0.055 0.444
Br2 Br 0.001 0.550 0.876
Br3 Br 0.501 0.050 0.624
Br4 Br 0.478 0.311 0.496
Br5 Br 0.579 0.130 0.809
Br6 Br 0.996 0.872 0.793
Br7 Br 0.499 0.550 0.376
Br8 Br 0.671 0.806 0.111
Br9 Br 0.808 0.386 0.386
Br10 Br 0.692 0.386 0.886
Br11 Br 0.316 0.036 0.441
Br12 Br 0.816 0.536 0.059
Br13 Br 0.504 0.872 0.293
Br14 Br 0.522 0.811 0.504
Br15 Br 0.171 0.306 0.389
Br16 Br 0.187 0.555 0.056
Br17 Br 0.022 0.311 0.996
Br18 Br 0.829 0.806 0.611
Br19 Br 0.813 0.055 0.944
Br20 Br 0.329 0.306 0.889
Br21 Br 0.421 0.630 0.191
Br22 Br 0.313 0.555 0.556
Br23 Br 0.978 0.811 0.004
Br24 Br 0.999 0.050 0.124
Br25 Br 0.684 0.536 0.559
Br26 Br 0.184 0.036 0.941
Br27 Br 0.308 0.886 0.114
Br28 Br 0.079 0.630 0.691
Br29 Br 0.921 0.130 0.309
Br30 Br 0.192 0.886 0.614
Br31 Br 0.496 0.372 0.707
Br32 Br 0.004 0.372 0.207
Bi1 Bi 0.171 0.128 0.705
Bi2 Bi 0.852 0.395 0.697
Bi3 Bi 0.067 0.147 0.548
Bi4 Bi 0.709 0.251 0.072
Bi5 Bi 0.567 0.647 0.952
Bi6 Bi 0.844 0.856 0.276
Bi7 Bi 0.648 0.395 0.197
Bi8 Bi 0.209 0.751 0.428
Bi9 Bi 0.829 0.628 0.295
Bi10 Bi 0.052 0.377 0.567
Bi11 Bi 0.156 0.356 0.724
Bi12 Bi 0.941 0.223 0.798
Bi13 Bi 0.374 0.578 0.828
Bi14 Bi 0.126 0.578 0.328
Bi15 Bi 0.448 0.377 0.067
Bi16 Bi 0.291 0.751 0.928
Bi17 Bi 0.933 0.647 0.452
Bi18 Bi 0.948 0.877 0.433
Bi19 Bi 0.626 0.078 0.172
Bi20 Bi 0.791 0.251 0.572
Bi21 Bi 0.656 0.856 0.776
Bi22 Bi 0.671 0.628 0.795
Bi23 Bi 0.352 0.895 0.803
Bi24 Bi 0.433 0.147 0.048
Bi25 Bi 0.441 0.723 0.702
Bi26 Bi 0.329 0.128 0.205
Bi27 Bi 0.059 0.723 0.202
Bi28 Bi 0.559 0.223 0.298
Bi29 Bi 0.874 0.078 0.672
Bi30 Bi 0.148 0.895 0.303
Bi31 Bi 0.344 0.356 0.224
Bi32 Bi 0.552 0.877 0.933
Ga1 Ga 0.974 0.299 0.323
Ga2 Ga 0.505 0.985 0.505
Ga3 Ga 0.495 0.485 0.495
Ga4 Ga 0.474 0.799 0.177
Ga5 Ga 0.526 0.299 0.823
Ga6 Ga 0.005 0.485 0.995
Ga7 Ga 0.026 0.799 0.677
Ga8 Ga 0.995 0.985 0.005
```

# 4
Pm3Sc | SCAN | PBEsol geometry

## Properties
DFT formation energy, eV/atom: 0.034

```
data_Pm3Sc
_chemical_formula_sum 'Pm6 Sc2'
_symmetry_space_group_name_H-M 'P 1'
_symmetry_Int_Tables_number 1
_cell_length_a 5.584
_cell_length_b 7.059
_cell_length_c 7.059
_cell_angle_alpha 120.00
_cell_angle_beta 90.00
_cell_angle_gamma 90.00
loop_
_symmetry_equiv_pos_as_xyz
'x,y,z'
loop_
_atom_site_label
_atom_site_type_symbol
_atom_site_fract_x
_atom_site_fract_y
_atom_site_fract_z
Pm1 Pm 0.250 0.170 0.339
Pm2 Pm 0.250 0.661 0.830
Pm3 Pm 0.750 0.830 0.170
Pm4 Pm 0.750 0.830 0.661
Pm5 Pm 0.250 0.170 0.830
Pm6 Pm 0.750 0.339 0.170
Sc1 Sc 0.250 0.667 0.333
Sc2 Sc 0.750 0.333 0.667
```

# 5
BeCrTe2 | SCAN | PBEsol geometry

## Properties
Energy relative to the elements, uncorrected, eV/atom: -0.287

```
data_BeCrTe2
_chemical_formula_sum 'Be2 Cr2 Te4'
_symmetry_space_group_name_H-M 'P 1'
_symmetry_Int_Tables_number 1
_cell_length_a 6.035
_cell_length_b 6.035
_cell_length_c 6.969
_cell_angle_alpha 115.66
_cell_angle_beta 115.66
_cell_angle_gamma 90.00
loop_
_symmetry_equiv_pos_as_xyz
'x,y,z'
loop_
_atom_site_label
_atom_site_type_symbol
_atom_site_fract_x
_atom_site_fract_y
_atom_site_fract_z
Te1 Te 0.842 0.375 0.250
Te2 Te 0.125 0.158 0.750
Te3 Te 0.625 0.592 0.750
Te4 Te 0.408 0.875 0.250
Be1 Be 0.500 0.500 0.000
Be2 Be 0.750 0.250 0.500
Cr1 Cr 0.250 0.750 0.500
Cr2 Cr 0.000 0.000 0.000
```

# 6
Co2RuCl | SCAN | PBEsol geometry

## Properties
Excess energy over the best structure of this formula in the dataset, eV per atom: 0.0000
Energy relative to the elements, uncorrected, eV/atom: 0.312

```
data_Co2RuCl
_chemical_formula_sum 'Co2 Ru1 Cl1'
_symmetry_space_group_name_H-M 'P 1'
_symmetry_Int_Tables_number 1
_cell_length_a 2.740
_cell_length_b 2.878
_cell_length_c 6.709
_cell_angle_alpha 90.00
_cell_angle_beta 90.00
_cell_angle_gamma 90.00
loop_
_symmetry_equiv_pos_as_xyz
'x,y,z'
loop_
_atom_site_label
_atom_site_type_symbol
_atom_site_fract_x
_atom_site_fract_y
_atom_site_fract_z
Co1 Co 0.500 0.000 0.240
Co2 Co 0.000 0.500 0.042
Ru1 Ru 0.000 0.500 0.457
Cl1 Cl 0.500 0.500 0.761
```

# 7
NbCoSn3 | SCAN | PBEsol geometry

## Properties
DFT formation energy, eV/atom: 0.935

```
data_NbCoSn3
_chemical_formula_sum 'Nb1 Co1 Sn3'
_symmetry_space_group_name_H-M 'P 1'
_symmetry_Int_Tables_number 1
_cell_length_a 5.269
_cell_length_b 5.269
_cell_length_c 5.269
_cell_angle_alpha 90.00
_cell_angle_beta 90.00
_cell_angle_gamma 90.00
loop_
_symmetry_equiv_pos_as_xyz
'x,y,z'
loop_
_atom_site_label
_atom_site_type_symbol
_atom_site_fract_x
_atom_site_fract_y
_atom_site_fract_z
Nb1 Nb 0.000 0.000 0.000
Sn1 Sn 0.000 0.000 0.500
Sn2 Sn 0.000 0.500 0.000
Sn3 Sn 0.500 0.000 0.000
Co1 Co 0.500 0.500 0.500
```

# 8
Li2CoAsS | SCAN | PBEsol geometry

## Properties
Energy relative to the elements, uncorrected, eV/atom: 0.405

```
data_Li2CoAsS
_chemical_formula_sum 'Li2 Co1 As1 S1'
_symmetry_space_group_name_H-M 'P 1'
_symmetry_Int_Tables_number 1
_cell_length_a 4.439
_cell_length_b 4.439
_cell_length_c 5.035
_cell_angle_alpha 90.00
_cell_angle_beta 90.00
_cell_angle_gamma 90.00
loop_
_symmetry_equiv_pos_as_xyz
'x,y,z'
loop_
_atom_site_label
_atom_site_type_symbol
_atom_site_fract_x
_atom_site_fract_y
_atom_site_fract_z
Co1 Co 0.500 0.500 0.500
S1 S 0.000 0.000 0.500
Li1 Li 0.500 0.000 0.000
Li2 Li 0.000 0.500 0.000
As1 As 0.000 0.000 0.000
```

# 9
CrTe2 | SCAN | PBEsol geometry

## Properties
Energy relative to the elements, uncorrected, eV/atom: -0.356

```
data_CrTe2
_chemical_formula_sum 'Cr2 Te4'
_symmetry_space_group_name_H-M 'P 1'
_symmetry_Int_Tables_number 1
_cell_length_a 3.895
_cell_length_b 5.472
_cell_length_c 7.231
_cell_angle_alpha 90.00
_cell_angle_beta 105.63
_cell_angle_gamma 90.00
loop_
_symmetry_equiv_pos_as_xyz
'x,y,z'
loop_
_atom_site_label
_atom_site_type_symbol
_atom_site_fract_x
_atom_site_fract_y
_atom_site_fract_z
Te1 Te 0.692 0.250 0.384
Te2 Te 0.960 0.250 0.919
Te3 Te 0.308 0.750 0.616
Te4 Te 0.040 0.750 0.081
Cr1 Cr 0.673 0.750 0.347
Cr2 Cr 0.327 0.250 0.653
```

# 10
NaCaPd2Ru | SCAN | PBEsol geometry

## Properties
DFT formation energy, eV/atom: 0.516

```
data_NaCaPd2Ru
_chemical_formula_sum 'Na1 Ca1 Pd2 Ru1'
_symmetry_space_group_name_H-M 'P 1'
_symmetry_Int_Tables_number 1
_cell_length_a 4.784
_cell_length_b 4.784
_cell_length_c 4.950
_cell_angle_alpha 90.00
_cell_angle_beta 90.00
_cell_angle_gamma 90.00
loop_
_symmetry_equiv_pos_as_xyz
'x,y,z'
loop_
_atom_site_label
_atom_site_type_symbol
_atom_site_fract_x
_atom_site_fract_y
_atom_site_fract_z
Na1 Na 0.000 0.000 0.500
Pd1 Pd 0.000 0.500 0.000
Pd2 Pd 0.500 0.000 0.000
Ru1 Ru 0.000 0.000 0.000
Ca1 Ca 0.500 0.500 0.500
```

# 11
BeGaAgB2 | SCAN | PBEsol geometry

## Properties
DFT formation energy, eV/atom: 1.760

```
data_BeGaAgB2
_chemical_formula_sum 'Be1 Ga1 Ag1 B2'
_symmetry_space_group_name_H-M 'P 1'
_symmetry_Int_Tables_number 1
_cell_length_a 3.995
_cell_length_b 3.995
_cell_length_c 5.286
_cell_angle_alpha 90.00
_cell_angle_beta 90.00
_cell_angle_gamma 90.00
loop_
_symmetry_equiv_pos_as_xyz
'x,y,z'
loop_
_atom_site_label
_atom_site_type_symbol
_atom_site_fract_x
_atom_site_fract_y
_atom_site_fract_z
Ga1 Ga 0.000 0.000 0.500
Be1 Be 0.500 0.500 0.500
Ag1 Ag 0.000 0.000 0.000
B1 B 0.500 0.000 0.000
B2 B 0.000 0.500 0.000
```

# 12
Li4CoO3F | SCAN | PBEsol geometry

## Properties
Energy relative to the elements, uncorrected, eV/atom: -2.032

```
data_Li4CoO3F
_chemical_formula_sum 'Li8 Co2 O6 F2'
_symmetry_space_group_name_H-M 'P 1'
_symmetry_Int_Tables_number 1
_cell_length_a 5.274
_cell_length_b 5.274
_cell_length_c 6.619
_cell_angle_alpha 90.00
_cell_angle_beta 90.00
_cell_angle_gamma 93.89
loop_
_symmetry_equiv_pos_as_xyz
'x,y,z'
loop_
_atom_site_label
_atom_site_type_symbol
_atom_site_fract_x
_atom_site_fract_y
_atom_site_fract_z
Li1 Li 0.917 0.606 0.759
Li2 Li 0.394 0.083 0.259
Li3 Li 0.339 0.665 0.004
Li4 Li 0.606 0.917 0.759
Li5 Li 0.083 0.394 0.259
Li6 Li 0.335 0.661 0.504
Li7 Li 0.665 0.339 0.004
Li8 Li 0.661 0.335 0.504
O1 O 0.234 0.823 0.752
O2 O 0.291 0.291 0.488
O3 O 0.177 0.766 0.252
O4 O 0.709 0.709 0.988
O5 O 0.823 0.234 0.752
O6 O 0.766 0.177 0.252
Co1 Co 0.118 0.118 0.679
Co2 Co 0.882 0.882 0.179
F1 F 0.689 0.689 0.552
F2 F 0.311 0.311 0.052
```

M_tot / μB/f.u.: 0.0; 0.0; 0.0; 0.0; 4.0; 5.0; 4.0; 2.3; 3.1; 0.0; 0.0; 4.0
Final energy / eV per cell: -111.93; -189.90; -3301.52; -292.12; -196.78; -76.17; -153.52; -49.88; -187.91; -111.67; -58.13; -134.76